w:
# Nb2SiBi

A relaxed Nb2SiBi crystal (PBE, Alexandria via LeMat-Bulk).

Values from the calculation:
N(E_F): 3.143 states/eV per cell
mass density: 9.3 g/cm3
magnetic moment: 0.00 μB/f.u.
space-group type: Fm-3m (225)

Unit cell a=4.7384 b=4.7384 c=4.7384 alpha=60.00 beta=60.00 gamma=60.00
Fractional coordinates of all 4 atoms:
Nb (0.2500, 0.2500, 0.2500)
Nb (0.7500, 0.7500, 0.7500)
Si (0.0000, 0.0000, 0.0000)
Bi (0.5000, 0.5000, 0.5000)



x:
# Nb2SiBi

A relaxed Nb2SiBi crystal (PBE, Alexandria via LeMat-Bulk).

Values from the calculation:
N(E_F): 8.362 states/eV per cell
mass density: 8.4 g/cm3
magnetic moment: 0.00 μB/f.u.
space-group type: I-42d (122)

Unit cell a=10.2552 b=10.2552 c=10.2552 alpha=156.81 beta=156.81 gamma=33.03
Fractional coordinates of all 8 atoms:
Nb (0.0974, 0.6250, 0.9724)
Nb (0.3750, 0.3474, 0.4724)
Nb (0.6526, 0.1250, 0.0276)
Nb (0.8750, 0.9026, 0.5276)
Si (0.0000, 0.0000, 0.0000)
Si (0.7500, 0.2500, 0.5000)
Bi (0.2500, 0.7500, 0.5000)
Bi (0.5000, 0.5000, 0.0000)



Which one sits at the top of the stability order? w does.



w:
# Nb2Sn2Bi

A relaxed Nb2Sn2Bi crystal (PBE, Alexandria via LeMat-Bulk).

Values from the calculation:
N(E_F): 6.380 states/eV per cell
mass density: 9.3 g/cm3
magnetic moment: 0.00 μB/f.u.
space-group type: P4/mbm (127)

Unit cell a=7.6222 b=7.6222 c=3.8717 alpha=90.00 beta=90.00 gamma=90.00
Fractional coordinates of all 10 atoms:
Nb (0.1423, 0.3577, 0.0000)
Nb (0.3577, 0.8577, 0.0000)
Nb (0.6423, 0.1423, 0.0000)
Nb (0.8577, 0.6423, 0.0000)
Sn (0.1507, 0.6507, 0.5000)
Sn (0.3493, 0.1507, 0.5000)
Sn (0.6507, 0.8493, 0.5000)
Sn (0.8493, 0.3493, 0.5000)
Bi (0.0000, 0.0000, 0.0000)
Bi (0.5000, 0.5000, 0.0000)



x:
# Nb2Sn2Bi

A relaxed Nb2Sn2Bi crystal (PBE, Alexandria via LeMat-Bulk).

Values from the calculation:
N(E_F): 12.589 states/eV per cell
mass density: 9.2 g/cm3
magnetic moment: 0.00 μB/f.u.
space-group type: P4/mbm (127)

Unit cell a=8.0191 b=8.0191 c=3.5445 alpha=90.00 beta=90.00 gamma=90.00
Fractional coordinates of all 10 atoms:
Nb (0.1530, 0.3470, 0.0000)
Nb (0.3470, 0.8470, 0.0000)
Nb (0.6530, 0.1530, 0.0000)
Nb (0.8470, 0.6530, 0.0000)
Sn (0.1374, 0.6374, 0.5000)
Sn (0.3626, 0.1374, 0.5000)
Sn (0.6374, 0.8626, 0.5000)
Sn (0.8626, 0.3626, 0.5000)
Bi (0.0000, 0.0000, 0.5000)
Bi (0.5000, 0.5000, 0.5000)



Which one sits at the top of the stability order? w does.



w:
# SrNbBi2

A relaxed SrNbBi2 crystal (PBE, Alexandria via LeMat-Bulk).

Values from the calculation:
N(E_F): 3.285 states/eV per cell
mass density: 7.8 g/cm3
magnetic moment: 0.98 μB/f.u.
space-group type: I-42d (122)

Unit cell a=6.9563 b=6.9563 c=6.9563 alpha=105.93 beta=105.93 gamma=116.82
Fractional coordinates of all 8 atoms:
Sr (0.0000, 0.0000, 0.0000)
Sr (0.7500, 0.2500, 0.5000)
Nb (0.2500, 0.7500, 0.5000)
Nb (0.5000, 0.5000, 0.0000)
Bi (0.1683, 0.6250, 0.0433)
Bi (0.3750, 0.4183, 0.5433)
Bi (0.5817, 0.1250, 0.9567)
Bi (0.8750, 0.8317, 0.4567)



x:
# SrNbBi2

A relaxed SrNbBi2 crystal (PBE, Alexandria via LeMat-Bulk).

Values from the calculation:
N(E_F): 3.385 states/eV per cell
mass density: 7.6 g/cm3
magnetic moment: 0.22 μB/f.u.
space-group type: R-3m (166)

Unit cell a=11.1808 b=11.1808 c=11.1808 alpha=19.06 beta=19.06 gamma=19.06
Fractional coordinates of all 4 atoms:
Sr (0.0000, 0.0000, 0.0000)
Nb (0.5000, 0.5000, 0.5000)
Bi (0.1045, 0.1045, 0.1045)
Bi (0.8955, 0.8955, 0.8955)



Which one sits at the top of the stability order? w does.



w:
# TaNbBi

A relaxed TaNbBi crystal (PBE, Alexandria via LeMat-Bulk).

Values from the calculation:
N(E_F): 5.352 states/eV per cell
mass density: 10.8 g/cm3
magnetic moment: 0.00 μB/f.u.
space-group type: C2/m (12)

Unit cell a=4.8628 b=4.8628 c=11.5694 alpha=109.30 beta=109.30 gamma=35.19
Fractional coordinates of all 6 atoms:
Ta (0.2432, 0.2432, 0.1961)
Ta (0.7568, 0.7568, 0.8039)
Nb (0.0925, 0.0925, 0.9322)
Nb (0.9075, 0.9075, 0.0678)
Bi (0.0371, 0.0371, 0.3582)
Bi (0.9629, 0.9629, 0.6418)



x:
# TaNbBi

A relaxed TaNbBi crystal (PBE, Alexandria via LeMat-Bulk).

Values from the calculation:
N(E_F): 4.496 states/eV per cell
mass density: 11.2 g/cm3
magnetic moment: 0.00 μB/f.u.
space-group type: Cmcm (63)

Unit cell a=11.3385 b=11.3385 c=4.2351 alpha=90.00 beta=90.00 gamma=164.77
Fractional coordinates of all 6 atoms:
Ta (0.0361, 0.9639, 0.7500)
Ta (0.9639, 0.0361, 0.2500)
Nb (0.4036, 0.5964, 0.7500)
Nb (0.5964, 0.4036, 0.2500)
Bi (0.1783, 0.8217, 0.7500)
Bi (0.8217, 0.1783, 0.2500)



Which one sits at the top of the stability order? x does.



w:
# TaNbBi2

A relaxed TaNbBi2 crystal (PBE, Alexandria via LeMat-Bulk).

Values from the calculation:
N(E_F): 4.337 states/eV per cell
mass density: 12.0 g/cm3
magnetic moment: 0.00 μB/f.u.
space-group type: R-3m (166)

Unit cell a=10.6366 b=10.6366 c=10.6366 alpha=17.56 beta=17.56 gamma=17.56
Fractional coordinates of all 4 atoms:
Ta (0.0000, 0.0000, 0.0000)
Nb (0.5000, 0.5000, 0.5000)
Bi (0.0930, 0.0930, 0.0930)
Bi (0.9070, 0.9070, 0.9070)



x:
# TaNbBi2

A relaxed TaNbBi2 crystal (PBE, Alexandria via LeMat-Bulk).

Values from the calculation:
N(E_F): 2.213 states/eV per cell
mass density: 13.2 g/cm3
magnetic moment: 0.00 μB/f.u.
space-group type: Fm-3m (225)

Unit cell a=4.9771 b=4.9771 c=4.9771 alpha=60.00 beta=60.00 gamma=60.00
Fractional coordinates of all 4 atoms:
Ta (0.0000, 0.0000, 0.0000)
Nb (0.5000, 0.5000, 0.5000)
Bi (0.2500, 0.2500, 0.2500)
Bi (0.7500, 0.7500, 0.7500)



y:
# TaNbBi2

A relaxed TaNbBi2 crystal (PBE, Alexandria via LeMat-Bulk).

Values from the calculation:
N(E_F): 10.582 states/eV per cell
mass density: 11.5 g/cm3
magnetic moment: 0.76 μB/f.u.
space-group type: I-42d (122)

Unit cell a=6.4755 b=6.4755 c=6.4755 alpha=103.12 beta=103.12 gamma=123.10
Fractional coordinates of all 8 atoms:
Ta (0.0000, 0.0000, 0.0000)
Ta (0.7500, 0.2500, 0.5000)
Nb (0.2500, 0.7500, 0.5000)
Nb (0.5000, 0.5000, 0.0000)
Bi (0.1219, 0.6250, 0.9969)
Bi (0.3750, 0.3719, 0.4969)
Bi (0.6281, 0.1250, 0.0031)
Bi (0.8750, 0.8781, 0.5031)



Which one sits at the top of the stability order? x does.



w:
# NbTcBi3

A relaxed NbTcBi3 crystal (PBE, Alexandria via LeMat-Bulk).

Values from the calculation:
N(E_F): 4.879 states/eV per cell
mass density: 9.1 g/cm3
magnetic moment: 3.74 μB/f.u.
space-group type: Pm-3m (221)

Unit cell a=5.2972 b=5.2972 c=5.2972 alpha=90.00 beta=90.00 gamma=90.00
Fractional coordinates of all 5 atoms:
Nb (0.0000, 0.0000, 0.0000)
Tc (0.5000, 0.5000, 0.5000)
Bi (0.0000, 0.5000, 0.5000)
Bi (0.5000, 0.0000, 0.5000)
Bi (0.5000, 0.5000, 0.0000)



x:
# NbTcBi3

A relaxed NbTcBi3 crystal (PBE, Alexandria via LeMat-Bulk).

Values from the calculation:
N(E_F): 5.539 states/eV per cell
mass density: 8.3 g/cm3
magnetic moment: 3.78 μB/f.u.
space-group type: Pm-3m (221)

Unit cell a=5.4750 b=5.4750 c=5.4750 alpha=90.00 beta=90.00 gamma=90.00
Fractional coordinates of all 5 atoms:
Nb (0.0000, 0.0000, 0.0000)
Tc (0.5000, 0.5000, 0.5000)
Bi (0.0000, 0.0000, 0.5000)
Bi (0.0000, 0.5000, 0.0000)
Bi (0.5000, 0.0000, 0.0000)



Which one sits at the top of the stability order? w does.



w:
# NbTc3Bi

A relaxed NbTc3Bi crystal (PBE, Alexandria via LeMat-Bulk).

Values from the calculation:
N(E_F): 4.961 states/eV per cell
mass density: 8.7 g/cm3
magnetic moment: 0.00 μB/f.u.
space-group type: Pm-3m (221)

Unit cell a=4.8486 b=4.8486 c=4.8486 alpha=90.00 beta=90.00 gamma=90.00
Fractional coordinates of all 5 atoms:
Nb (0.0000, 0.0000, 0.0000)
Tc (0.0000, 0.5000, 0.5000)
Tc (0.5000, 0.0000, 0.5000)
Tc (0.5000, 0.5000, 0.0000)
Bi (0.5000, 0.5000, 0.5000)



x:
# NbTc3Bi

A relaxed NbTc3Bi crystal (PBE, Alexandria via LeMat-Bulk).

Values from the calculation:
N(E_F): 7.141 states/eV per cell
mass density: 8.9 g/cm3
magnetic moment: 2.82 μB/f.u.
space-group type: Pm-3m (221)

Unit cell a=4.8031 b=4.8031 c=4.8031 alpha=90.00 beta=90.00 gamma=90.00
Fractional coordinates of all 5 atoms:
Nb (0.0000, 0.0000, 0.0000)
Tc (0.0000, 0.0000, 0.5000)
Tc (0.0000, 0.5000, 0.0000)
Tc (0.5000, 0.0000, 0.0000)
Bi (0.5000, 0.5000, 0.5000)



Which one sits at the top of the stability order? x does.



w:
# Nb3BiTe

A relaxed Nb3BiTe crystal (PBE, Alexandria via LeMat-Bulk).

Values from the calculation:
N(E_F): 7.329 states/eV per cell
mass density: 7.8 g/cm3
magnetic moment: 0.00 μB/f.u.
space-group type: Pm-3m (221)

Unit cell a=5.0729 b=5.0729 c=5.0729 alpha=90.00 beta=90.00 gamma=90.00
Fractional coordinates of all 5 atoms:
Nb (0.0000, 0.0000, 0.5000)
Nb (0.0000, 0.5000, 0.0000)
Nb (0.5000, 0.0000, 0.0000)
Bi (0.5000, 0.5000, 0.5000)
Te (0.0000, 0.0000, 0.0000)



x:
# Nb3BiTe

A relaxed Nb3BiTe crystal (PBE, Alexandria via LeMat-Bulk).

Values from the calculation:
N(E_F): 12.282 states/eV per cell
mass density: 7.1 g/cm3
magnetic moment: 0.00 μB/f.u.
space-group type: R3c (161)

Unit cell a=14.3980 b=14.3980 c=14.3980 alpha=19.36 beta=19.36 gamma=19.36
Fractional coordinates of all 10 atoms:
Nb (0.0012, 0.3383, 0.6605)
Nb (0.1605, 0.8383, 0.5012)
Nb (0.3383, 0.6605, 0.0012)
Nb (0.5012, 0.1605, 0.8383)
Nb (0.6605, 0.0012, 0.3383)
Nb (0.8383, 0.5012, 0.1605)
Bi (0.4408, 0.4408, 0.4408)
Bi (0.9408, 0.9408, 0.9408)
Te (0.0556, 0.0556, 0.0556)
Te (0.5556, 0.5556, 0.5556)



y:
# Nb3BiTe

A relaxed Nb3BiTe crystal (PBE, Alexandria via LeMat-Bulk).

Values from the calculation:
N(E_F): 7.618 states/eV per cell
mass density: 7.3 g/cm3
magnetic moment: 0.00 μB/f.u.
space-group type: Pm-3m (221)

Unit cell a=5.2036 b=5.2036 c=5.2036 alpha=90.00 beta=90.00 gamma=90.00
Fractional coordinates of all 5 atoms:
Nb (0.0000, 0.0000, 0.5000)
Nb (0.0000, 0.5000, 0.0000)
Nb (0.5000, 0.0000, 0.0000)
Bi (0.0000, 0.0000, 0.0000)
Te (0.5000, 0.5000, 0.5000)



Which one sits at the top of the stability order? x does.



w:
# TiNbBi

A relaxed TiNbBi crystal (PBE, Alexandria via LeMat-Bulk).

Values from the calculation:
N(E_F): 2.906 states/eV per cell
mass density: 9.7 g/cm3
magnetic moment: 0.00 μB/f.u.
space-group type: C2/m (12)

Unit cell a=5.2815 b=5.2815 c=7.2321 alpha=110.28 beta=110.28 gamma=39.79
Fractional coordinates of all 6 atoms:
Ti (0.1747, 0.1747, 0.0928)
Ti (0.8253, 0.8253, 0.9072)
Nb (0.1756, 0.1756, 0.5837)
Nb (0.8244, 0.8244, 0.4163)
Bi (0.4952, 0.4952, 0.2416)
Bi (0.5048, 0.5048, 0.7584)



x:
# TiNbBi

A relaxed TiNbBi crystal (PBE, Alexandria via LeMat-Bulk).

Values from the calculation:
N(E_F): 1.761 states/eV per cell
mass density: 9.7 g/cm3
magnetic moment: 0.00 μB/f.u.
space-group type: I4mm (107)

Unit cell a=5.2628 b=5.2628 c=5.2628 alpha=139.95 beta=139.95 gamma=57.94
Fractional coordinates of all 3 atoms:
Ti (0.0000, 0.0000, 0.0000)
Nb (0.3498, 0.3498, 0.0000)
Bi (0.6752, 0.6752, 0.0000)



y:
# TiNbBi

A relaxed TiNbBi crystal (PBE, Alexandria via LeMat-Bulk).

Values from the calculation:
N(E_F): 6.859 states/eV per cell
mass density: 8.9 g/cm3
magnetic moment: 0.00 μB/f.u.
space-group type: C2/m (12)

Unit cell a=7.9756 b=7.9756 c=3.1865 alpha=96.32 beta=96.32 gamma=137.57
Fractional coordinates of all 6 atoms:
Ti (0.1511, 0.8489, 0.0000)
Ti (0.8489, 0.1511, 0.0000)
Nb (0.2188, 0.2188, 0.4510)
Nb (0.7812, 0.7812, 0.5490)
Bi (0.3490, 0.6510, 0.0000)
Bi (0.6510, 0.3490, 0.0000)



Which one sits at the top of the stability order? x does.



w:
# TiNbBi

A relaxed TiNbBi crystal (PBE, Alexandria via LeMat-Bulk).

Values from the calculation:
N(E_F): 2.506 states/eV per cell
mass density: 9.5 g/cm3
magnetic moment: 0.00 μB/f.u.
space-group type: P3m1 (156)

Unit cell a=4.8010 b=4.8010 c=3.0619 alpha=90.00 beta=90.00 gamma=120.00
Fractional coordinates of all 3 atoms:
Ti (0.0000, 0.0000, 0.0000)
Nb (0.6667, 0.3333, 0.3233)
Bi (0.3333, 0.6667, 0.6856)



x:
# TiNbBi

A relaxed TiNbBi crystal (PBE, Alexandria via LeMat-Bulk).

Values from the calculation:
N(E_F): 4.530 states/eV per cell
mass density: 8.7 g/cm3
magnetic moment: 0.00 μB/f.u.
space-group type: C2/m (12)

Unit cell a=4.5197 b=4.5197 c=7.9774 alpha=106.72 beta=106.72 gamma=59.77
Fractional coordinates of all 6 atoms:
Ti (0.1754, 0.1754, 0.4845)
Ti (0.8246, 0.8246, 0.5155)
Nb (0.3034, 0.3034, 0.9006)
Nb (0.6966, 0.6966, 0.0994)
Bi (0.4275, 0.4275, 0.2796)
Bi (0.5725, 0.5725, 0.7204)



Which one sits at the top of the stability order? w does.



w:
# Ti6NbBi

A relaxed Ti6NbBi crystal (PBE, Alexandria via LeMat-Bulk).

Values from the calculation:
N(E_F): 9.146 states/eV per cell
mass density: 6.7 g/cm3
magnetic moment: 0.00 μB/f.u.
space-group type: Amm2 (38)

Unit cell a=4.5200 b=5.8367 c=5.8367 alpha=71.16 beta=90.00 gamma=90.00
Fractional coordinates of all 8 atoms:
Ti (0.0000, 0.0000, 0.0000)
Ti (0.0000, 0.5407, 0.9806)
Ti (0.0000, 0.9806, 0.5407)
Ti (0.5000, 0.2912, 0.7652)
Ti (0.5000, 0.7652, 0.2912)
Ti (0.5000, 0.7937, 0.7937)
Nb (0.0000, 0.5187, 0.5187)
Bi (0.5000, 0.2714, 0.2714)



x:
# Ti6NbBi

A relaxed Ti6NbBi crystal (PBE, Alexandria via LeMat-Bulk).

Values from the calculation:
N(E_F): 11.731 states/eV per cell
mass density: 6.0 g/cm3
magnetic moment: 0.00 μB/f.u.
space-group type: C2/m (12)

Unit cell a=4.4985 b=4.4985 c=8.4219 alpha=98.17 beta=98.17 gamma=77.47
Fractional coordinates of all 8 atoms:
Ti (0.0491, 0.5608, 0.2328)
Ti (0.1338, 0.1338, 0.4445)
Ti (0.4392, 0.9509, 0.7672)
Ti (0.5608, 0.0491, 0.2328)
Ti (0.8662, 0.8662, 0.5555)
Ti (0.9509, 0.4392, 0.7672)
Nb (0.5000, 0.5000, 0.5000)
Bi (0.5000, 0.5000, 0.0000)



Which one sits at the top of the stability order? w does.